Zr2CoNi | PBE | relaxed

Lattice parameters (Å, degrees): 5.2334 4.0672 6.5857 90.00 108.43 90.00
With the nearest neighbours (Å) after each atom.
Fractional positions:
Zr 0.2182 0.2500 0.4324  4 Co 2.67-2.81, 3 Ni 2.70-2.77
Zr 0.2206 0.2500 0.9271  3 Co 2.65-2.78, 4 Ni 2.68-2.75
Zr 0.7794 0.7500 0.0729  3 Co 2.65-2.78, 4 Ni 2.68-2.75
Zr 0.7818 0.7500 0.5676  4 Co 2.67-2.81, 3 Ni 2.70-2.77
Co 0.3278 0.7500 0.7093  2 Ni 2.64, 7 Zr 2.65-2.81
Co 0.6722 0.2500 0.2907  2 Ni 2.64, 7 Zr 2.65-2.81
Ni 0.3328 0.7500 0.2063  2 Co 2.64, 7 Zr 2.68-2.77
Ni 0.6672 0.2500 0.7937  2 Co 2.64, 7 Zr 2.68-2.77

Results
energy of formation from the pure elements	-1.605	eV/f.u.
magnetization	0.000	μB per cell
energy above the most stable polymorph in this dataset	0.0	meV per atom

ZrCo3Ni | PBE | relaxed

Lattice parameters (Å, degrees): 4.4862 4.4862 4.4862 90.00 90.00 90.00
With the nearest neighbours (Å) after each atom.
Fractional positions:
Zr 0.0000 0.0000 0.0000  6 Co 2.24
Co 0.0000 0.0000 0.5000  2 Zr 2.24
Co 0.0000 0.5000 0.0000  2 Zr 2.24
Co 0.5000 0.0000 0.0000  2 Zr 2.24
Ni 0.5000 0.5000 0.5000  12 Co 3.17

Results
energy of formation from the pure elements	8.359	eV/f.u.
magnetization	2.986	μB per cell
energy above the most stable polymorph in this dataset	1006.1	meV per atom

ZrCoNi | PBE | relaxed

Lattice parameters (Å, degrees): 3.9580 3.9580 3.3239 90.00 90.00 120.00
With the nearest neighbours (Å) after each atom.
Fractional positions:
Zr 0.0000 0.0000 0.0000  6 Co 2.83, 6 Ni 2.83
Co 0.6667 0.3333 0.5000  3 Ni 2.29
Ni 0.3333 0.6667 0.5000  3 Co 2.29

Results
energy of formation from the pure elements	-0.626	eV/f.u.
magnetization	0.762	μB per cell

Repeat the first record exactly.
Zr2CoNi | PBE | relaxed

Lattice parameters (Å, degrees): 5.2334 4.0672 6.5857 90.00 108.43 90.00
With the nearest neighbours (Å) after each atom.
Fractional positions:
Zr 0.2182 0.2500 0.4324  4 Co 2.67-2.81, 3 Ni 2.70-2.77
Zr 0.2206 0.2500 0.9271  3 Co 2.65-2.78, 4 Ni 2.68-2.75
Zr 0.7794 0.7500 0.0729  3 Co 2.65-2.78, 4 Ni 2.68-2.75
Zr 0.7818 0.7500 0.5676  4 Co 2.67-2.81, 3 Ni 2.70-2.77
Co 0.3278 0.7500 0.7093  2 Ni 2.64, 7 Zr 2.65-2.81
Co 0.6722 0.2500 0.2907  2 Ni 2.64, 7 Zr 2.65-2.81
Ni 0.3328 0.7500 0.2063  2 Co 2.64, 7 Zr 2.68-2.77
Ni 0.6672 0.2500 0.7937  2 Co 2.64, 7 Zr 2.68-2.77

Results
energy of formation from the pure elements	-1.605	eV/f.u.
magnetization	0.000	μB per cell
energy above the most stable polymorph in this dataset	0.0	meV per atom

Question: Which formula does entry 2 have?
Answer: ZrCo3Ni

Question: magnetization of number 3 (ZrCoNi)?
Answer: 0.762 μB per cell

Copy entry 3 word for word.
ZrCoNi | PBE | relaxed

Lattice parameters (Å, degrees): 3.9580 3.9580 3.3239 90.00 90.00 120.00
With the nearest neighbours (Å) after each atom.
Fractional positions:
Zr 0.0000 0.0000 0.0000  6 Co 2.83, 6 Ni 2.83
Co 0.6667 0.3333 0.5000  3 Ni 2.29
Ni 0.3333 0.6667 0.5000  3 Co 2.29

Results
energy of formation from the pure elements	-0.626	eV/f.u.
magnetization	0.762	μB per cell